Density functional theory data (GGA-PBE) for a relaxed K12Rb16In crystal.

**Total magnetization**: 0.0 μB/cell

CIF file:
```
data_K12Rb16In
_chemical_formula_sum 'K12 Rb16 In1'
_symmetry_space_group_name_H-M 'P 1'
_symmetry_Int_Tables_number 1
_symmetry_space_group_name_Hall 'P 1'
_cell_length_a 14.276
_cell_length_b 14.276
_cell_length_c 14.444
_cell_angle_alpha 70.70
_cell_angle_beta 70.70
_cell_angle_gamma 107.91
loop_
_atom_site_label
_atom_site_fract_x
_atom_site_fract_y
_atom_site_fract_z
_atom_site_occupancy
K1 0.823 0.823 0.786 1
K2 0.642 0.642 0.169 1
K3 0.338 0.147 0.037 1
K4 0.817 0.636 0.388 1
K5 0.190 0.002 0.639 1
K6 0.374 0.997 0.818 1
K7 0.193 0.775 0.178 1
K8 0.775 0.193 0.178 1
K9 0.997 0.374 0.818 1
K10 0.002 0.190 0.639 1
K11 0.636 0.817 0.388 1
K12 0.147 0.338 0.037 1
Rb1 0.435 0.435 0.685 1
Rb2 0.996 0.996 0.003 1
Rb3 0.985 0.985 0.375 1
Rb4 0.308 0.308 0.286 1
Rb5 0.654 0.447 0.939 1
Rb6 0.574 0.289 0.419 1
Rb7 0.993 0.680 0.589 1
Rb8 0.982 0.628 0.003 1
Rb9 0.717 0.312 0.690 1
Rb10 0.391 0.983 0.329 1
Rb11 0.983 0.391 0.329 1
Rb12 0.312 0.717 0.690 1
Rb13 0.628 0.982 0.003 1
Rb14 0.680 0.993 0.589 1
Rb15 0.289 0.574 0.419 1
Rb16 0.447 0.654 0.939 1
In1 0.694 0.694 0.638 1
```



Density functional theory data (GGA-PBE) for a relaxed K5Rb5In crystal.

**Total magnetization**: 0.0 μB/cell

CIF file:
```
data_K5Rb5In
_chemical_formula_sum 'K5 Rb5 In1'
_symmetry_space_group_name_H-M 'P 1'
_symmetry_Int_Tables_number 1
_symmetry_space_group_name_Hall 'P 1'
_cell_length_a 6.728
_cell_length_b 11.339
_cell_length_c 14.590
_cell_angle_alpha 109.85
_cell_angle_beta 90.00
_cell_angle_gamma 107.26
loop_
_atom_site_label
_atom_site_fract_x
_atom_site_fract_y
_atom_site_fract_z
_atom_site_occupancy
K1 0.900 0.799 0.157 1
K2 0.900 0.801 0.737 1
K3 0.500 0.000 0.000 1
K4 0.100 0.199 0.263 1
K5 0.100 0.201 0.843 1
Rb1 0.765 0.530 0.387 1
Rb2 0.756 0.513 0.870 1
Rb3 0.000 0.000 0.500 1
Rb4 0.244 0.487 0.130 1
Rb5 0.235 0.470 0.613 1
In1 0.000 0.000 0.000 1
```



Density functional theory data (GGA-PBE) for a relaxed K4Rb2In crystal.

**Total magnetization**: 0.0 μB/cell

CIF file:
```
data_K4Rb2In
_chemical_formula_sum 'K4 Rb2 In1'
_symmetry_space_group_name_H-M 'P 1'
_symmetry_Int_Tables_number 1
_symmetry_space_group_name_Hall 'P 1'
_cell_length_a 6.900
_cell_length_b 6.900
_cell_length_c 12.067
_cell_angle_alpha 73.39
_cell_angle_beta 73.39
_cell_angle_gamma 90.00
loop_
_atom_site_label
_atom_site_fract_x
_atom_site_fract_y
_atom_site_fract_z
_atom_site_occupancy
K1 0.838 0.838 0.324 1
K2 0.162 0.162 0.676 1
K3 0.000 0.500 0.000 1
K4 0.500 0.000 0.000 1
Rb1 0.636 0.636 0.729 1
Rb2 0.364 0.364 0.271 1
In1 0.000 0.000 0.000 1
```



Density functional theory data (GGA-PBE) for a relaxed K3RbIn crystal.

**Total magnetization**: 0.0 μB/cell

CIF file:
```
data_K3RbIn
_chemical_formula_sum 'K3 Rb1 In1'
_symmetry_space_group_name_H-M 'P 1'
_symmetry_Int_Tables_number 1
_symmetry_space_group_name_Hall 'P 1'
_cell_length_a 7.365
_cell_length_b 7.365
_cell_length_c 7.365
_cell_angle_alpha 90.00
_cell_angle_beta 90.00
_cell_angle_gamma 90.00
loop_
_atom_site_label
_atom_site_fract_x
_atom_site_fract_y
_atom_site_fract_z
_atom_site_occupancy
K1 0.000 0.500 0.000 1
K2 0.000 0.000 0.500 1
K3 0.500 0.000 0.000 1
Rb1 0.000 0.000 0.000 1
In1 0.500 0.500 0.500 1
```



Computed values of DFT total energy (unit: eV per atom) for the preceding records, in sequence: -1.06; -1.07; -1.22; -0.91.